Computed, not measured: crystalline TiPd5Pt at its relaxed geometry at the PBE level of DFT.

```
data_TiPd5Pt
_chemical_formula_sum 'Ti1 Pd5 Pt1'
_symmetry_space_group_name_H-M 'P 1'
_symmetry_Int_Tables_number 1
_symmetry_space_group_name_Hall 'P 1'
_cell_length_a 8.8414
_cell_length_b 5.0955
_cell_length_c 5.7036
_cell_angle_alpha 116.53
_cell_angle_beta 140.81
_cell_angle_gamma 90.00
loop_
_atom_site_label
_atom_site_fract_x
_atom_site_fract_y
_atom_site_fract_z
_atom_site_occupancy
Pd1 0.7922 0.7536 0.0000 1
Pd2 0.0628 0.5000 0.0000 1
Pd3 0.3068 0.2462 0.4924 1
Pd4 0.8143 0.7538 0.5076 1
Pd5 0.7922 0.2464 0.0000 1
Ti1 0.3224 0.5000 0.0000 1
Pt1 0.4399 0.0000 0.0000 1
```

Summary:
Formation enthalpy at 0 K = -0.97 eV per formula unit
Space-group type = Imm2

=====

Computed, not measured: crystalline LaZn3Ir at its relaxed geometry at the PBE level of DFT.

```
data_LaZn3Ir
_chemical_formula_sum 'La2 Zn6 Ir2'
_symmetry_space_group_name_H-M 'P 1'
_symmetry_Int_Tables_number 1
_symmetry_space_group_name_Hall 'P 1'
_cell_length_a 5.5614
_cell_length_b 5.2733
_cell_length_c 7.1311
_cell_angle_alpha 89.79
_cell_angle_beta 90.39
_cell_angle_gamma 106.65
loop_
_atom_site_label
_atom_site_fract_x
_atom_site_fract_y
_atom_site_fract_z
_atom_site_occupancy
Zn1 0.3146 0.5002 0.2030 1
Zn2 0.4555 0.9450 0.9919 1
Zn3 0.8146 0.0002 0.7030 1
Zn4 0.9556 0.4449 0.4919 1
Zn5 0.9594 0.4509 0.9093 1
Zn6 0.4593 0.9509 0.4092 1
Ir1 0.1971 0.8314 0.6982 1
Ir2 0.6971 0.3313 0.1982 1
La1 0.4516 0.4046 0.7015 1
La2 0.9514 0.9045 0.2015 1
```

Summary:
Formation enthalpy at 0 K = -1.86 eV per formula unit
Space-group type = P1
E above lowest polymorph = 0.165 eV per formula unit

=====

Computed, not measured: crystalline Ba2PmP2Cl2 at its relaxed geometry at the PBE level of DFT.

```
data_Ba2PmP2Cl2
_chemical_formula_sum 'Ba2 Pm1 P2 Cl2'
_symmetry_space_group_name_H-M 'P 1'
_symmetry_Int_Tables_number 1
_symmetry_space_group_name_Hall 'P 1'
_cell_length_a 5.4687
_cell_length_b 5.4687
_cell_length_c 8.8839
_cell_angle_alpha 107.93
_cell_angle_beta 107.93
_cell_angle_gamma 90.00
loop_
_atom_site_label
_atom_site_fract_x
_atom_site_fract_y
_atom_site_fract_z
_atom_site_occupancy
Cl1 0.8177 0.8177 0.6355 1
Cl2 0.1823 0.1823 0.3645 1
Ba1 0.3762 0.3762 0.7525 1
Ba2 0.6238 0.6238 0.2475 1
Pm1 0.0000 0.0000 0.0000 1
P1 0.0000 0.5000 0.0000 1
P2 0.5000 0.0000 0.0000 1
```

Summary:
Space-group type = I4/mmm
Energy relative to the elements, uncorrected = -1.561 eV per atom

=====

Computed, not measured: crystalline Ca2Al2Pd5Pb at its relaxed geometry at the PBE level of DFT.

```
data_Ca2Al2Pd5Pb
_chemical_formula_sum 'Ca4 Al4 Pd10 Pb2'
_symmetry_space_group_name_H-M 'P 1'
_symmetry_Int_Tables_number 1
_symmetry_space_group_name_Hall 'P 1'
_cell_length_a 3.6251
_cell_length_b 10.2968
_cell_length_c 10.2968
_cell_angle_alpha 90.00
_cell_angle_beta 90.00
_cell_angle_gamma 90.00
loop_
_atom_site_label
_atom_site_fract_x
_atom_site_fract_y
_atom_site_fract_z
_atom_site_occupancy
Pd1 0.5000 0.5000 0.0000 1
Pd2 0.5000 0.0000 0.5000 1
Pd3 0.5000 0.0639 0.7813 1
Pd4 0.5000 0.7187 0.4361 1
Pd5 0.5000 0.4361 0.2813 1
Pd6 0.5000 0.2813 0.5639 1
Pd7 0.5000 0.5639 0.7187 1
Pd8 0.5000 0.2187 0.0639 1
Pd9 0.5000 0.7813 0.9361 1
Pd10 0.5000 0.9361 0.2187 1
Al1 0.0000 0.3814 0.1186 1
Al2 0.0000 0.6186 0.8814 1
Al3 0.0000 0.1186 0.6186 1
Al4 0.0000 0.8814 0.3814 1
Ca1 0.0000 0.3213 0.8213 1
Ca2 0.0000 0.6787 0.1787 1
Ca3 0.0000 0.1787 0.3213 1
Ca4 0.0000 0.8213 0.6787 1
Pb1 0.0000 0.5000 0.5000 1
Pb2 0.0000 0.0000 0.0000 1
```

Summary:
Formation enthalpy at 0 K = -6.95 eV per formula unit
Space-group type = P4/mbm

=====

Computed, not measured: crystalline SmDy2Hg2 at its relaxed geometry at the PBE level of DFT.

```
data_SmDy2Hg2
_chemical_formula_sum 'Sm2 Dy4 Hg4'
_symmetry_space_group_name_H-M 'P 1'
_symmetry_Int_Tables_number 1
_symmetry_space_group_name_Hall 'P 1'
_cell_length_a 3.7495
_cell_length_b 5.3567
_cell_length_c 13.8298
_cell_angle_alpha 90.00
_cell_angle_beta 97.79
_cell_angle_gamma 90.00
loop_
_atom_site_label
_atom_site_fract_x
_atom_site_fract_y
_atom_site_fract_z
_atom_site_occupancy
Hg1 0.6447 0.7500 0.2881 1
Hg2 0.4541 0.7500 0.9080 1
Hg3 0.5459 0.2500 0.0920 1
Hg4 0.3553 0.2500 0.7119 1
Dy1 0.0483 0.7500 0.0954 1
Dy2 0.2358 0.7500 0.4721 1
Dy3 0.9517 0.2500 0.9046 1
Dy4 0.7642 0.2500 0.5279 1
Sm1 0.8522 0.7500 0.7074 1
Sm2 0.1478 0.2500 0.2926 1
```

Summary:
Formation enthalpy at 0 K = -1.92 eV per formula unit
Space-group type = P2_1/m
E above lowest polymorph = 0.000 eV per formula unit

=====

Computed, not measured: crystalline TmScMnOs at its relaxed geometry at the PBE level of DFT.

```
data_TmScMnOs
_chemical_formula_sum 'Tm1 Sc1 Mn1 Os1'
_symmetry_space_group_name_H-M 'P 1'
_symmetry_Int_Tables_number 1
_symmetry_space_group_name_Hall 'P 1'
_cell_length_a 4.7251
_cell_length_b 4.7251
_cell_length_c 4.7251
_cell_angle_alpha 60.00
_cell_angle_beta 60.00
_cell_angle_gamma 60.00
loop_
_atom_site_label
_atom_site_fract_x
_atom_site_fract_y
_atom_site_fract_z
_atom_site_occupancy
Tm1 0.5000 0.5000 0.5000 1
Sc1 0.0000 0.0000 0.0000 1
Mn1 0.7500 0.7500 0.7500 1
Os1 0.2500 0.2500 0.2500 1
```

Summary:
Formation enthalpy at 0 K = -0.48 eV per formula unit
Space-group type = F-43m

=====

Computed, not measured: crystalline Ca2YNbO6 at its relaxed geometry at the PBE level of DFT.

```
data_Ca2YNbO6
_chemical_formula_sum 'Ca2 Y1 Nb1 O6'
_symmetry_space_group_name_H-M 'P 1'
_symmetry_Int_Tables_number 1
_symmetry_space_group_name_Hall 'P 1'
_cell_length_a 5.9207
_cell_length_b 5.9207
_cell_length_c 5.9207
_cell_angle_alpha 60.00
_cell_angle_beta 60.00
_cell_angle_gamma 60.00
loop_
_atom_site_label
_atom_site_fract_x
_atom_site_fract_y
_atom_site_fract_z
_atom_site_occupancy
O1 0.7383 0.2617 0.7383 1
O2 0.2617 0.2617 0.7383 1
O3 0.7383 0.2617 0.2617 1
O4 0.2617 0.7383 0.7383 1
O5 0.7383 0.7383 0.2617 1
O6 0.2617 0.7383 0.2617 1
Ca1 0.7500 0.7500 0.7500 1
Ca2 0.2500 0.2500 0.2500 1
Y1 0.0000 0.0000 0.0000 1
Nb1 0.5000 0.5000 0.5000 1
```

Summary:
Space-group type = Fm-3m
Energy relative to the elements, uncorrected = -2.843 eV per atom

=====

Computed, not measured: crystalline KSr2 at its relaxed geometry at the PBE level of DFT.

```
data_KSr2
_chemical_formula_sum 'K2 Sr4'
_symmetry_space_group_name_H-M 'P 1'
_symmetry_Int_Tables_number 1
_symmetry_space_group_name_Hall 'P 1'
_cell_length_a 8.4181
_cell_length_b 8.4181
_cell_length_c 10.5242
_cell_angle_alpha 74.24
_cell_angle_beta 74.24
_cell_angle_gamma 29.87
loop_
_atom_site_label
_atom_site_fract_x
_atom_site_fract_y
_atom_site_fract_z
_atom_site_occupancy
K1 0.9978 0.9978 0.0007 1
K2 0.3367 0.3367 0.3325 1
Sr1 0.9459 0.9459 0.6145 1
Sr2 0.6144 0.6144 0.2848 1
Sr3 0.2720 0.2720 0.9368 1
Sr4 0.6666 0.6666 0.6641 1
```

Summary:
Formation enthalpy at 0 K = 0.25 eV per formula unit
Space-group type = Cm

=====

Computed, not measured: crystalline IrOs2Au at its relaxed geometry at the PBE level of DFT.

```
data_IrOs2Au
_chemical_formula_sum 'Ir1 Os2 Au1'
_symmetry_space_group_name_H-M 'P 1'
_symmetry_Int_Tables_number 1
_symmetry_space_group_name_Hall 'P 1'
_cell_length_a 9.3786
_cell_length_b 9.3786
_cell_length_c 9.3786
_cell_angle_alpha 16.90
_cell_angle_beta 16.90
_cell_angle_gamma 16.90
loop_
_atom_site_label
_atom_site_fract_x
_atom_site_fract_y
_atom_site_fract_z
_atom_site_occupancy
Ir1 0.7500 0.7500 0.7500 1
Os1 0.4955 0.4955 0.4955 1
Os2 0.0045 0.0045 0.0045 1
Au1 0.2500 0.2500 0.2500 1
```

Summary:
Formation enthalpy at 0 K = 1.34 eV per formula unit
Space-group type = R-3m
E above lowest polymorph = 0.313 eV per formula unit

=====

Computed, not measured: crystalline Ce3SmIr at its relaxed geometry at the PBE level of DFT.

```
data_Ce3SmIr
_chemical_formula_sum 'Ce6 Sm2 Ir2'
_symmetry_space_group_name_H-M 'P 1'
_symmetry_Int_Tables_number 1
_symmetry_space_group_name_Hall 'P 1'
_cell_length_a 6.0387
_cell_length_b 7.2373
_cell_length_c 7.2371
_cell_angle_alpha 120.00
_cell_angle_beta 90.00
_cell_angle_gamma 90.00
loop_
_atom_site_label
_atom_site_fract_x
_atom_site_fract_y
_atom_site_fract_z
_atom_site_occupancy
Sm1 0.7498 0.6667 0.3334 1
Sm2 0.2502 0.3333 0.6666 1
Ir1 0.0000 0.0000 0.0000 1
Ir2 0.5000 0.0000 0.0000 1
Ce1 0.7500 0.6162 0.8081 1
Ce2 0.2500 0.8080 0.1918 1
Ce3 0.2500 0.3838 0.1919 1
Ce4 0.7500 0.1920 0.8082 1
Ce5 0.7500 0.1920 0.3837 1
Ce6 0.2500 0.8080 0.6163 1
```

Summary:
Formation enthalpy at 0 K = -1.04 eV per formula unit
Space-group type = P6_3/mmc

=====

Computed, not measured: crystalline Cd2HgPb4 at its relaxed geometry at the PBE level of DFT.

```
data_Cd2HgPb4
_chemical_formula_sum 'Cd4 Hg2 Pb8'
_symmetry_space_group_name_H-M 'P 1'
_symmetry_Int_Tables_number 1
_symmetry_space_group_name_Hall 'P 1'
_cell_length_a 3.5762
_cell_length_b 7.4083
_cell_length_c 15.3086
_cell_angle_alpha 90.00
_cell_angle_beta 90.00
_cell_angle_gamma 90.00
loop_
_atom_site_label
_atom_site_fract_x
_atom_site_fract_y
_atom_site_fract_z
_atom_site_occupancy
Cd1 0.5000 0.7714 0.3841 1
Cd2 0.5000 0.2286 0.6159 1
Cd3 0.5000 0.2714 0.1159 1
Cd4 0.5000 0.7286 0.8841 1
Pb1 0.0000 0.4409 0.7651 1
Pb2 0.5000 0.8451 0.0931 1
Pb3 0.5000 0.1549 0.9069 1
Pb4 0.5000 0.3451 0.4069 1
Pb5 0.0000 0.0591 0.2651 1
Pb6 0.0000 0.5591 0.2349 1
Pb7 0.5000 0.6549 0.5931 1
Pb8 0.0000 0.9409 0.7349 1
Hg1 0.0000 0.0000 0.5000 1
Hg2 0.0000 0.5000 0.0000 1
```

Summary:
Formation enthalpy at 0 K = 0.27 eV per formula unit
Space-group type = Pbam
E above lowest polymorph = 0.000 eV per formula unit

=====

Computed, not measured: crystalline VPdSe2N at its relaxed geometry at the PBE level of DFT.

```
data_VPdSe2N
_chemical_formula_sum 'V1 Pd1 Se2 N1'
_symmetry_space_group_name_H-M 'P 1'
_symmetry_Int_Tables_number 1
_symmetry_space_group_name_Hall 'P 1'
_cell_length_a 5.0928
_cell_length_b 5.0928
_cell_length_c 3.6840
_cell_angle_alpha 90.00
_cell_angle_beta 90.00
_cell_angle_gamma 90.00
loop_
_atom_site_label
_atom_site_fract_x
_atom_site_fract_y
_atom_site_fract_z
_atom_site_occupancy
N1 0.0000 0.0000 0.5000 1
Pd1 0.0000 0.0000 0.0000 1
V1 0.5000 0.5000 0.5000 1
Se1 0.5000 0.0000 0.0000 1
Se2 0.0000 0.5000 0.0000 1
```

Summary:
Space-group type = P4/mmm
Energy relative to the elements, uncorrected = 0.957 eV per atom
E above lowest polymorph = 4.003 eV per formula unit